(1)
DFT (GGA-PBE) results for a geometry-optimized Ge3Pb12Au5 structure. Values from VASP.

Results
Energy of formation from the pure elements   128 meV/atom
Spin magnetization   0.00 μB per cell
E_tot   -3.609 eV per atom

```
&SYSTEM
  ibrav = 0, nat = 80, ntyp = 3
/
ATOMIC_SPECIES
Pb 207.20 Pb.upf
Au 196.97 Au.upf
Ge 72.64 Ge.upf
CELL_PARAMETERS angstrom
14.896 0.000 0.000
-4.965 14.044 0.000
-4.965 -7.022 12.162
ATOMIC_POSITIONS crystal
Pb 0.775 0.330 0.904
Pb 0.129 0.404 0.074
Pb 0.830 0.904 0.275
Au 0.000 0.000 0.000
Au 0.500 0.000 0.500
Ge 0.125 0.250 0.875
Pb 0.926 0.830 0.555
Pb 0.129 0.725 0.555
Au 0.750 0.125 0.875
Pb 0.404 0.129 0.574
Ge 0.375 0.625 0.250
Au 0.875 0.250 0.625
Pb 0.096 0.170 0.225
Pb 0.275 0.871 0.945
Ge 0.625 0.250 0.375
Ge 0.250 0.625 0.875
Au 0.375 0.250 0.125
Pb 0.170 0.074 0.945
Pb 0.725 0.596 0.170
Pb 0.871 0.596 0.926
Pb 0.945 0.574 0.170
Pb 0.830 0.926 0.055
Au 0.250 0.875 0.125
Pb 0.670 0.225 0.596
Pb 0.445 0.670 0.074
Pb 0.074 0.170 0.445
Pb 0.775 0.445 0.371
Au 0.000 0.500 0.500
Pb 0.426 0.055 0.330
Au 0.875 0.625 0.750
Pb 0.871 0.275 0.445
Au 0.500 0.500 0.500
Au 0.125 0.375 0.250
Ge 0.875 0.750 0.125
Ge 0.875 0.125 0.250
Pb 0.574 0.629 0.404
Pb 0.629 0.574 0.904
Au 0.250 0.375 0.625
Pb 0.725 0.129 0.055
Pb 0.275 0.404 0.830
Ge 0.375 0.750 0.625
Pb 0.670 0.445 0.574
Au 0.625 0.875 0.250
Pb 0.574 0.945 0.670
Pb 0.055 0.629 0.725
Pb 0.596 0.871 0.426
Au 0.000 0.000 0.500
Ge 0.125 0.875 0.750
Ge 0.625 0.375 0.750
Pb 0.330 0.555 0.426
Pb 0.074 0.904 0.129
Au 0.500 0.000 0.000
Au 0.125 0.750 0.375
Au 0.000 0.500 0.000
Pb 0.596 0.725 0.670
Pb 0.404 0.275 0.330
Au 0.625 0.750 0.875
Pb 0.055 0.426 0.830
Pb 0.904 0.074 0.629
Pb 0.904 0.830 0.775
Pb 0.555 0.225 0.129
Pb 0.926 0.096 0.871
Pb 0.629 0.055 0.225
Au 0.750 0.625 0.375
Ge 0.250 0.125 0.375
Pb 0.225 0.670 0.096
Pb 0.330 0.775 0.404
Pb 0.555 0.330 0.926
Pb 0.170 0.096 0.725
Pb 0.225 0.555 0.629
Au 0.375 0.125 0.750
Pb 0.371 0.426 0.096
Pb 0.445 0.775 0.871
Au 0.500 0.500 0.000
Ge 0.750 0.875 0.625
Pb 0.426 0.371 0.596
Ge 0.750 0.375 0.125
Pb 0.371 0.945 0.775
Pb 0.945 0.371 0.275
Pb 0.096 0.926 0.371
```

---

(2)
DFT (GGA-PBE) results for a geometry-optimized Ge2Pb2Au structure. Values from VASP.

Results
Energy of formation from the pure elements   67 meV/atom
Spin magnetization   0.00 μB per cell
E_tot   -3.919 eV per atom
Distance to the lowest polymorph of the same formula   0 meV per atom

```
&SYSTEM
  ibrav = 0, nat = 10, ntyp = 3
/
ATOMIC_SPECIES
Pb 207.20 Pb.upf
Ge 72.64 Ge.upf
Au 196.97 Au.upf
CELL_PARAMETERS angstrom
6.751 0.000 0.000
0.000 6.751 0.000
0.000 0.000 5.387
ATOMIC_POSITIONS crystal
Pb 0.319 0.181 0.500
Pb 0.681 0.819 0.500
Pb 0.181 0.681 0.500
Ge 0.635 0.135 0.000
Ge 0.135 0.365 0.000
Au 0.000 0.000 0.000
Au 0.500 0.500 0.000
Ge 0.865 0.635 0.000
Ge 0.365 0.865 0.000
Pb 0.819 0.319 0.500
```

---

(3)
DFT (GGA-PBE) results for a geometry-optimized GePb2Au structure. Values from VASP.

Results
Energy of formation from the pure elements   100 meV/atom
Spin magnetization   0.00 μB per cell
E_tot   -3.728 eV per atom

```
&SYSTEM
  ibrav = 0, nat = 4, ntyp = 3
/
ATOMIC_SPECIES
Ge 72.64 Ge.upf
Pb 207.20 Pb.upf
Au 196.97 Au.upf
CELL_PARAMETERS angstrom
3.508 0.000 0.000
0.000 3.508 0.000
0.000 0.000 8.114
ATOMIC_POSITIONS crystal
Ge 0.500 0.500 0.500
Pb 0.000 0.000 0.240
Pb 0.000 0.000 0.760
Au 0.500 0.500 0.000
```

---

(4)
DFT (GGA-PBE) results for a geometry-optimized Ge2Pb2Au structure. Values from VASP.

Results
Energy of formation from the pure elements   273 meV/atom
Spin magnetization   0.00 μB per cell
E_tot   -3.713 eV per atom
Distance to the lowest polymorph of the same formula   206 meV per atom

```
&SYSTEM
  ibrav = 0, nat = 10, ntyp = 3
/
ATOMIC_SPECIES
Ge 72.64 Ge.upf
Pb 207.20 Pb.upf
Au 196.97 Au.upf
CELL_PARAMETERS angstrom
-4.013 1.847 -6.620
-6.873 -1.045 3.874
0.016 4.134 1.144
ATOMIC_POSITIONS crystal
Ge 0.111 0.611 0.500
Pb 0.821 0.679 0.000
Pb 0.321 0.821 0.000
Au 0.000 0.000 0.000
Pb 0.179 0.321 0.000
Au 0.500 0.500 0.000
Ge 0.889 0.389 0.500
Ge 0.389 0.111 0.500
Pb 0.679 0.179 0.000
Ge 0.611 0.889 0.500
```

---

(5)
DFT (GGA-PBE) results for a geometry-optimized GePbAu6 structure. Values from VASP.

Results
Energy of formation from the pure elements   37 meV/atom
Spin magnetization   0.00 μB per cell
E_tot   -3.462 eV per atom

```
&SYSTEM
  ibrav = 0, nat = 8, ntyp = 3
/
ATOMIC_SPECIES
Au 196.97 Au.upf
Ge 72.64 Ge.upf
Pb 207.20 Pb.upf
CELL_PARAMETERS angstrom
4.089 0.000 0.000
0.000 4.089 0.000
0.000 0.000 10.244
ATOMIC_POSITIONS crystal
Au 0.000 0.500 0.329
Au 0.500 0.000 0.329
Au 0.500 0.000 0.671
Ge 0.000 0.000 0.500
Au 0.000 0.500 0.671
Au 0.500 0.500 0.867
Au 0.500 0.500 0.133
Pb 0.000 0.000 0.000
```

---

(6)
DFT (GGA-PBE) results for a geometry-optimized Ge2Pb3Au7 structure. Values from VASP.

Results
Energy of formation from the pure elements   44 meV/atom
Spin magnetization   0.00 μB per cell
E_tot   -3.565 eV per atom

```
&SYSTEM
  ibrav = 0, nat = 12, ntyp = 3
/
ATOMIC_SPECIES
Au 196.97 Au.upf
Ge 72.64 Ge.upf
Pb 207.20 Pb.upf
CELL_PARAMETERS angstrom
4.154 0.000 0.000
0.000 4.175 -0.620
0.000 0.321 16.529
ATOMIC_POSITIONS crystal
Au 0.500 0.877 0.753
Ge 0.000 0.077 0.154
Pb 0.500 0.291 0.581
Au 0.000 0.814 0.628
Ge 0.000 0.923 0.846
Au 0.000 0.376 0.753
Au 0.500 0.123 0.247
Pb 0.500 0.709 0.419
Au 0.000 0.186 0.372
Au 0.000 0.624 0.247
Au 0.000 0.000 0.000
Pb 0.500 0.500 0.000
```

---

(7)
DFT (GGA-PBE) results for a geometry-optimized GePbAu2 structure. Values from VASP.

Results
Energy of formation from the pure elements   54 meV/atom
Spin magnetization   0.00 μB per cell
E_tot   -3.666 eV per atom
Distance to the lowest polymorph of the same formula   92 meV per atom

```
&SYSTEM
  ibrav = 0, nat = 4, ntyp = 3
/
ATOMIC_SPECIES
Pb 207.20 Pb.upf
Au 196.97 Au.upf
Ge 72.64 Ge.upf
CELL_PARAMETERS angstrom
3.385 0.000 0.000
0.000 3.385 0.000
0.000 0.000 7.552
ATOMIC_POSITIONS crystal
Pb 0.500 0.500 0.500
Au 0.000 0.000 0.208
Au 0.000 0.000 0.792
Ge 0.500 0.500 0.000
```

---

(8)
DFT (GGA-PBE) results for a geometry-optimized GePb2Au structure. Values from VASP.

Results
Energy of formation from the pure elements   121 meV/atom
Spin magnetization   0.00 μB per cell
E_tot   -3.707 eV per atom

```
&SYSTEM
  ibrav = 0, nat = 4, ntyp = 3
/
ATOMIC_SPECIES
Au 196.97 Au.upf
Pb 207.20 Pb.upf
Ge 72.64 Ge.upf
CELL_PARAMETERS angstrom
4.096 0.000 0.000
0.000 4.936 0.000
0.000 0.000 4.936
ATOMIC_POSITIONS crystal
Au 0.500 0.500 0.500
Pb 0.000 0.500 0.000
Pb 0.000 0.000 0.500
Ge 0.500 0.000 0.000
```